[1]
La2H6IrPd | PBE | optimized geometry

Cell: 5.4623 5.4615 5.4219 Å, 59.74 59.77 90.26°
With the nearest neighbours (Å) after each atom.
Sites, in units of the cell vectors:
La 0.7498 0.2502 0.5000  12 H 2.70-2.74
H 0.7336 0.7336 0.5319  1 Ir 1.78
Ir 0.5000 0.5000 0.0000  6 H 1.78
Pd 0.0000 0.0000 0.0000  6 H 2.02-2.09
La 0.2502 0.7498 0.5000  12 H 2.70-2.74
H 0.2700 0.7301 0.9999  1 Ir 1.78
H 0.7300 0.2699 0.0001  1 Ir 1.78
H 0.7307 0.7307 0.0006  1 Ir 1.78
H 0.2664 0.2664 0.4681  1 Ir 1.78
H 0.2693 0.2693 0.9994  1 Ir 1.78

Summary:
N(E_F)	4.5	states/eV/f.u.
spin magnetization	0.00	μB per formula unit
space-group type	C2/m (12)
total DFT energy (no corrections)	-4.949	eV/atom



[2]
CdSiW2 | PBE | optimized geometry

Cell: 4.4838 4.4838 4.4838 Å, 60.00 60.00 60.00°
With the nearest neighbours (Å) after each atom.
Sites, in units of the cell vectors:
Si 0.0000 0.0000 0.0000  8 W 2.75
Cd 0.5000 0.5000 0.5000  8 W 2.75
W 0.7500 0.7500 0.7500  4 Cd 2.75, 4 Si 2.75
W 0.2500 0.2500 0.2500  4 Cd 2.75, 4 Si 2.75

Summary:
relative energy among the computed polymorphs	388.7	meV/atom
N(E_F)	3.9	states/eV/f.u.
spin magnetization	0.00	μB per formula unit
raw formation energy	748	meV/atom
space-group type	Fm-3m (225)
total DFT energy (no corrections)	-7.313	eV/atom



[3]
SrLuZn4 | PBE | optimized geometry

Cell: 5.5717 5.5717 5.5717 Å, 60.00 60.00 60.00°
With the nearest neighbours (Å) after each atom.
Sites, in units of the cell vectors:
Zn 0.6261 0.1217 0.6261  6 Zn 2.76-2.81
Lu 0.0000 0.0000 0.0000  12 Zn 3.26, 4 Sr 3.41
Zn 0.1217 0.6261 0.6261  6 Zn 2.76-2.81
Sr 0.2500 0.2500 0.2500  12 Zn 3.27, 4 Lu 3.41
Zn 0.6261 0.6261 0.1217  6 Zn 2.76-2.81
Zn 0.6261 0.6261 0.6261  6 Zn 2.76-2.81

Summary:
N(E_F)	4.5	states/eV/f.u.
spin magnetization	0.00	μB per formula unit
space-group type	F-43m (216)
total DFT energy (no corrections)	-2.064	eV/atom



[4]
NbBiSe | PBE | optimized geometry

Cell: 3.2974 6.4835 7.6142 Å, 106.08 90.21 104.71°
With the nearest neighbours (Å) after each atom.
Sites, in units of the cell vectors:
Bi 0.4925 0.3277 0.2549  4 Nb 3.10-3.21, 5 Bi 3.28-3.43
Bi 0.2262 0.7949 0.2251  3 Nb 3.05-3.07, 3 Bi 3.28-3.30
Se 0.5383 0.4091 0.7372  4 Nb 2.65-2.73
Nb 0.1510 0.6387 0.5717  4 Se 2.64-2.73
Se 0.7993 0.9317 0.7811  3 Nb 2.54-2.64
Nb 0.8898 0.1155 0.5246  3 Se 2.54-2.65

Summary:
relative energy among the computed polymorphs	31.2	meV/atom
N(E_F)	1.1	states/eV/f.u.
spin magnetization	0.00	μB per formula unit
raw formation energy	-409	meV/atom
space-group type	P1 (1)
total DFT energy (no corrections)	-6.221	eV/atom



Q: Among the records above, which one has the highest total DFT energy (no corrections)?
A: SrLuZn4